An optimized crystal structure of Mn2TcO. Source: the Alexandria database, functional PBE with a Hubbard U.

CIF file:
```
data_Mn2TcO
_symmetry_space_group_name_H-M 'P 1'
_symmetry_Int_Tables_number 1
_cell_length_a 5.434
_cell_length_b 5.434
_cell_length_c 5.434
_cell_angle_alpha 109.00
_cell_angle_beta 109.00
_cell_angle_gamma 110.42
loop_
_symmetry_equiv_pos_as_xyz
'x,y,z'
loop_
_atom_site_label
_atom_site_type_symbol
_atom_site_fract_x
_atom_site_fract_y
_atom_site_fract_z
Mn1 Mn 0.045 0.125 0.420
Mn2 Mn 0.375 0.955 0.080
Mn3 Mn 0.705 0.625 0.580
Mn4 Mn 0.875 0.295 0.920
Tc1 Tc 0.250 0.750 0.500
Tc2 Tc 0.500 0.500 0.000
O1 O 0.000 0.000 0.000
O2 O 0.750 0.250 0.500
```

- energy (eV/atom) = -7.423
- total moment (μB per formula unit) = 6.9
- theoretical density (g/cm3) = 6.020